Gd2TmLu: optimized geometry, PBE.

Summary:
Energy above the lowest structure with this stoichiometry = 0.063 eV/atom

POSCAR file:
```
Gd2TmLu
1.0
5.615 0.000 0.000
2.807 4.862 0.000
2.807 1.621 4.584
Tm Lu Gd
1 1 2
Direct
0.500 0.500 0.500 Tm
0.000 0.000 0.000 Lu
0.750 0.750 0.750 Gd
0.250 0.250 0.250 Gd
```

Gd2TmLu: optimized geometry, PBE.

Summary:
Energy above the lowest structure with this stoichiometry = 0.000 eV/atom

POSCAR file:
```
Gd2TmLu
1.0
-3.192 1.485 -0.228
-1.502 0.477 -3.156
-6.430 -9.683 -0.375
Gd Lu Tm
2 1 1
Direct
0.750 0.750 0.749 Gd
0.250 0.250 0.251 Gd
0.500 0.500 0.500 Lu
0.000 0.000 0.000 Tm
```

GdLuW4: optimized geometry, PBE.

POSCAR file:
```
GdLuW4
1.0
-3.721 -2.022 -3.556
-3.450 -4.017 1.594
-5.376 1.090 0.704
Gd W Lu
1 4 1
Direct
0.000 0.000 0.000 Gd
0.625 0.125 0.625 W
0.625 0.625 0.625 W
0.125 0.625 0.625 W
0.625 0.625 0.125 W
0.250 0.250 0.250 Lu
```

GdY2Lu: optimized geometry, PBE.

Summary:
Energy above the lowest structure with this stoichiometry = 0.000 eV/atom

POSCAR file:
```
GdY2Lu
1.0
-1.882 -4.451 1.401
4.575 -2.020 -0.271
0.802 1.172 4.803
Y Lu Gd
2 1 1
Direct
0.000 0.000 0.500 Y
0.000 0.500 0.000 Y
0.500 0.500 0.500 Lu
0.500 0.000 0.000 Gd
```

Gd2YLu: optimized geometry, PBE.

Summary:
Energy above the lowest structure with this stoichiometry = 0.067 eV/atom

POSCAR file:
```
Gd2YLu
1.0
5.652 0.000 0.000
2.826 4.894 0.000
2.826 1.631 4.614
Y Gd Lu
1 2 1
Direct
0.000 0.000 0.000 Y
0.250 0.250 0.250 Gd
0.750 0.750 0.750 Gd
0.500 0.500 0.500 Lu
```

Gd2YLu: optimized geometry, PBE.

Summary:
Energy above the lowest structure with this stoichiometry = 0.000 eV/atom

POSCAR file:
```
Gd2YLu
1.0
3.550 0.000 0.000
1.775 3.074 0.000
1.775 1.025 11.542
Gd Y Lu
2 1 1
Direct
0.249 0.249 0.254 Gd
0.751 0.751 0.746 Gd
0.000 0.000 0.000 Y
0.500 0.500 0.500 Lu
```

Gd2YLu: optimized geometry, PBE.

Summary:
Energy above the lowest structure with this stoichiometry = 0.002 eV/atom

POSCAR file:
```
Gd2YLu
1.0
3.554 0.000 0.000
0.000 3.554 0.000
0.000 0.000 10.004
Gd Y Lu
2 1 1
Direct
0.000 0.000 0.755 Gd
0.000 0.000 0.245 Gd
0.500 0.500 0.500 Y
0.500 0.500 0.000 Lu
```

Gd2YLu: optimized geometry, PBE.

Summary:
Energy above the lowest structure with this stoichiometry = 0.002 eV/atom

POSCAR file:
```
Gd2YLu
1.0
-0.533 -0.177 4.971
1.770 -4.699 0.022
4.669 1.761 0.563
Lu Y Gd
1 1 2
Direct
0.500 0.500 0.500 Lu
0.500 0.000 0.000 Y
0.000 0.000 0.500 Gd
0.000 0.500 0.000 Gd
```

GdY2Lu: optimized geometry, PBE.

Summary:
Energy above the lowest structure with this stoichiometry = 0.088 eV/atom

POSCAR file:
```
GdY2Lu
1.0
5.666 0.000 0.000
2.833 4.907 0.000
2.833 1.636 4.626
Lu Y Gd
1 2 1
Direct
0.000 0.000 0.000 Lu
0.750 0.750 0.750 Y
0.250 0.250 0.250 Y
0.500 0.500 0.500 Gd
```

GdYLuZn: optimized geometry, PBE.

POSCAR file:
```
GdYLuZn
1.0
5.316 0.000 0.000
2.658 4.604 0.000
2.658 1.535 4.341
Zn Lu Gd Y
1 1 1 1
Direct
0.250 0.250 0.250 Zn
0.750 0.750 0.750 Lu
0.500 0.500 0.500 Gd
0.000 0.000 0.000 Y
```

GdYLuZr: optimized geometry, PBE.

POSCAR file:
```
GdYLuZr
1.0
5.478 0.000 0.000
2.739 4.744 0.000
2.739 1.581 4.473
Lu Gd Y Zr
1 1 1 1
Direct
0.250 0.250 0.250 Lu
0.500 0.500 0.500 Gd
0.750 0.750 0.750 Y
0.000 0.000 0.000 Zr
```

GdLu2Zn: optimized geometry, PBE.

Summary:
Energy above the lowest structure with this stoichiometry = 0.000 eV/atom

POSCAR file:
```
GdLu2Zn
1.0
-1.192 -2.621 -1.977
3.073 -1.630 0.308
-2.849 -4.035 7.069
Lu Zn Gd
2 1 1
Direct
0.000 0.000 0.202 Lu
0.000 0.000 0.798 Lu
0.500 0.500 0.000 Zn
0.500 0.500 0.500 Gd
```

| no. | mass density (Mg/m³) | energy (eV per cell) | energy relative to the elements (eV/atom) |
| --- | --- | --- | --- |
| 1 | 8.74 | -36.8 | 0.0955 |
| 2 | 8.86 | -37.0 | 0.0328 |
| 3 | 14.82 | -69.5 | 0.1471 |
| 4 | 6.71 | -31.4 | 0.0299 |
| 5 | 7.52 | -38.7 | 0.0995 |
| 6 | 7.62 | -39.0 | 0.0327 |
| 7 | 7.60 | -39.0 | 0.0346 |
| 8 | 7.61 | -39.0 | 0.0346 |
| 9 | 6.59 | -31.1 | 0.1184 |
| 10 | 7.60 | -26.3 | 0.0123 |
| 11 | 7.32 | -32.8 | 0.2024 |
| 12 | 9.04 | -25.0 | -0.1596 |